HoZnGaO4 | Alexandria | PBE | optimized geometry; energy = -6.33 eV per atom
1.0
-3.089 3.259 4.400
3.089 -3.259 4.400
3.089 3.259 -4.400
Ho Zn Ga O
2 2 2 8
Direct
0.000 0.000 0.000 Ho
0.500 0.000 0.500 Ho
0.366 0.616 0.750 Zn
0.634 0.384 0.250 Zn
0.000 0.000 0.500 Ga
0.000 0.500 0.000 Ga
0.212 0.745 0.467 O
0.222 0.255 0.967 O
0.232 0.224 0.492 O
0.232 0.740 0.008 O
0.768 0.260 0.992 O
0.768 0.776 0.508 O
0.778 0.745 0.033 O
0.788 0.255 0.533 O